1.
4
Lattice="3.039 0.000 0.000 0.000 3.039 0.000 0.000 0.000 5.736" Properties=species:S:1:pos:R:3 comment="GGA-PBE ScBe2V, optimized geometry" e_tot_ry_per_atom=-0.420 mass_density_g_cm3=3.57 polymorph_energy_ev_per_fu=0.000 crystal_system=tetragonal sg="P4/mmm (123)" delta_e_f_kj_per_mol_atoms=0.96 pbc="T T T"
Sc 1.520 1.520 2.868
Be 0.000 0.000 4.596
Be 0.000 0.000 1.141
V 1.520 1.520 0.000

2.
5
Lattice="4.221 0.000 0.000 0.000 4.221 0.000 0.000 0.000 4.221" Properties=species:S:1:pos:R:3 comment="GGA-PBE ScBe3V, optimized geometry" e_tot_ry_per_atom=-0.335 mass_density_g_cm3=2.71 polymorph_energy_ev_per_fu=0.000 crystal_system=cubic sg="Pm-3m (221)" delta_e_f_kj_per_mol_atoms=74.00 pbc="T T T"
Sc 2.111 2.111 2.111
Be 0.000 2.111 0.000
Be 0.000 0.000 2.111
Be 2.111 0.000 0.000
V 0.000 0.000 0.000

3.
4
Lattice="1.721 0.000 9.515 -0.860 1.490 9.515 -0.860 -1.490 9.515" Properties=species:S:1:pos:R:3 comment="GGA-PBE Sc2BeV, optimized geometry" e_tot_ry_per_atom=-0.424 mass_density_g_cm3=3.40 crystal_system=trigonal sg="R-3m (166)" delta_e_f_kj_per_mol_atoms=58.07 pbc="T T T"
Sc 0.000 0.000 25.826
Sc 0.000 0.000 2.718
Be 0.000 0.000 14.272
V 0.000 0.000 0.000

4.
8
Lattice="4.006 0.000 0.000 0.000 4.006 0.000 2.003 2.003 8.362" Properties=species:S:1:pos:R:3 comment="GGA-PBE ScBe2V, optimized geometry" e_tot_ry_per_atom=-0.371 mass_density_g_cm3=2.82 polymorph_energy_ev_per_fu=2.689 crystal_system=tetragonal sg="I4_1/amd (141)" delta_e_f_kj_per_mol_atoms=65.83 pbc="T T T"
Sc 2.003 2.003 0.000
Sc 2.003 4.006 4.181
Be 4.010 1.002 2.091
Be 4.002 3.005 2.091
Be 3.005 1.999 6.272
Be 5.008 2.007 6.272
V 0.000 0.000 0.000
V 4.006 2.003 4.181